This record from the Alexandria database describes a relaxed TlAsH2 crystal. The functional is PBE.

Properties
The energy above the lowest structure with this stoichiometry is 285 kJ/mol of formula units. The value obtained for the density is 8.62 g/cm3. Its space-group type is Fm-3m, No. 225.

Structure (POSCAR):
```
TlAsH2
1.0
0.000 3.004 3.004
3.004 0.000 3.004
3.004 3.004 0.000
Tl As H
1 1 2
Cartesian
0.000 0.000 0.000
3.004 3.004 3.004
1.502 1.502 1.502
4.506 4.506 4.506
```